(1)
# Li2NdCd

A relaxed structure of Li2NdCd (PBE, the Alexandria database).

The uncorrected energy comes out at -2.348 eV per atom. The crystal system is tetragonal. The value obtained for the mass density is 4.58 Mg/m³. For the calculated volume, the calculation gives 98 Å³/f.u.

a = 4.800 Å, b = 4.800 Å, c = 4.255 Å
α = 90.00°, β = 90.00°, γ = 90.00°
Fractional positions:
Li 0.000 0.500 0.000
Li 0.500 0.000 0.000
Nd 0.000 0.000 0.500
Cd 0.500 0.500 0.500

(2)
# K2H6PtAu

A relaxed structure of K2H6PtAu (PBE, the Alexandria database).

The uncorrected energy comes out at -3.319 eV per atom. The crystal system is trigonal. The value obtained for the mass density is 5.26 Mg/m³. For the calculated volume, the calculation gives 150 Å³/f.u.

a = 5.692 Å, b = 5.692 Å, c = 5.359 Å
α = 90.00°, β = 90.00°, γ = 120.00°
Fractional positions:
K 0.333 0.667 0.244
K 0.667 0.333 0.756
H 0.142 0.284 0.813
H 0.142 0.858 0.813
H 0.284 0.142 0.187
H 0.716 0.858 0.813
H 0.858 0.142 0.187
H 0.858 0.716 0.187
Pt 0.000 0.000 0.000
Au 0.000 0.000 0.500